! Mn4SiCl, optimized geometry, DFT PBE; values from VASP
&SYSTEM
  ibrav = 0, nat = 6, ntyp = 3
/
ATOMIC_SPECIES
Mn 54.94 Mn.upf
Si 28.09 Si.upf
Cl 35.45 Cl.upf
CELL_PARAMETERS angstrom
0.0000 3.5422 3.5422
3.5422 0.0000 3.5422
3.5422 3.5422 0.0000
ATOMIC_POSITIONS angstrom
Mn 2.6702 2.6702 2.6702
Si 5.3132 5.3132 5.3132
Mn 4.4141 4.4141 2.6702
Mn 4.4141 2.6702 4.4141
Cl 0.0000 0.0000 0.0000
Mn 2.6702 4.4141 4.4141
! Crystal system = cubic
! E_form (uncorrected) = 666 meV/atom
! Calculated volume = 88.9 Å³/cell
! Calculated total energy = -6.659 eV/atom
! Spin magnetization = 11.35 μB per formula unit
! N(E_F) = 6.9 states/eV per cell